The following is a DFT calculation (PBE-GGA) of a geometry-optimized YOsAu structure.

Results
Total moment in μB/f.u.: 1.41
Energy relative to the elements in eV per atom: 0.3921
Uncorrected energy in eV per cell: -19.79
Theoretical density in g/cm3: 11.46
ΔE to the lowest computed polymorph in meV/atom: 421

a b c (Å): 4.604 4.604 4.604
angles (deg): 60.00 60.00 60.00
Atoms (fractional coordinates):
Y  0.000  0.000  0.000
Os  0.250  0.250  0.250
Au  0.500  0.500  0.500

The following is a DFT calculation (PBE-GGA) of a geometry-optimized LiPr2NpSe5 structure.

Results
Total moment in μB/f.u.: 3.96
Uncorrected energy in eV per cell: -111.32
Theoretical density in g/cm3: 6.72

a b c (Å): 8.943 8.943 12.533
angles (deg): 90.00 90.00 152.99
Atoms (fractional coordinates):
Li  0.018  0.982  0.500
Li  0.982  0.018  0.000
Pr  0.374  0.626  0.322
Pr  0.391  0.609  0.709
Pr  0.609  0.391  0.209
Pr  0.626  0.374  0.822
Np  0.301  0.699  0.027
Np  0.699  0.301  0.527
Se  0.000  0.000  0.304
Se  0.000  0.000  0.804
Se  0.135  0.865  0.021
Se  0.191  0.809  0.367
Se  0.213  0.787  0.684
Se  0.452  0.548  0.093
Se  0.548  0.452  0.593
Se  0.787  0.213  0.184
Se  0.809  0.191  0.867
Se  0.865  0.135  0.521

The following is a DFT calculation (PBE-GGA) of a geometry-optimized Zr12Sn6Au structure.

Results
Total moment in μB/f.u.: 0.00
Energy relative to the elements in eV per atom: -0.3035
Uncorrected energy in eV per cell: -135.64
Theoretical density in g/cm3: 7.75

a b c (Å): 7.545 7.545 7.545
angles (deg): 90.47 90.47 90.47
Atoms (fractional coordinates):
Zr  0.023  0.935  0.304
Zr  0.065  0.696  0.977
Zr  0.122  0.444  0.360
Zr  0.304  0.023  0.935
Zr  0.360  0.122  0.444
Zr  0.444  0.360  0.122
Zr  0.556  0.640  0.878
Zr  0.640  0.878  0.556
Zr  0.696  0.977  0.065
Zr  0.878  0.556  0.640
Zr  0.935  0.304  0.023
Zr  0.977  0.065  0.696
Sn  0.223  0.376  0.763
Sn  0.237  0.777  0.624
Sn  0.376  0.763  0.223
Sn  0.624  0.237  0.777
Sn  0.763  0.223  0.376
Sn  0.777  0.624  0.237
Au  0.500  0.500  0.500